{"formula": "NaPtNO", "functional": "PBE", "state": "optimized geometry", "cell": [[3.566, 0.000, 0.000], [0.000, 5.980, 0.000], [0.000, 0.000, 5.633]], "species": ["Na", "Na", "Pt", "Pt", "N", "N", "O", "O"], "fractional_positions": [[0.000, 0.198, 0.000], [0.000, 0.802, 0.500], [0.500, 0.298, 0.495], [0.500, 0.702, 0.995], [0.000, 0.205, 0.444], [0.000, 0.795, 0.944], [0.500, 0.378, 0.855], [0.500, 0.622, 0.355]], "polymorph_energy_mev_per_atom": 0, "spacegroup": "No. 26"}


{"formula": "Tm5Si10Ir4", "functional": "PBE", "state": "optimized geometry", "cell": [[12.580, 0.000, 0.000], [0.000, 12.580, 0.000], [0.000, 0.000, 4.223]], "species": ["Tm", "Tm", "Tm", "Tm", "Tm", "Tm", "Tm", "Tm", "Tm", "Tm", "Si", "Si", "Si", "Si", "Si", "Si", "Si", "Si", "Si", "Si", "Si", "Si", "Si", "Si", "Si", "Si", "Si", "Si", "Si", "Si", "Ir", "Ir", "Ir", "Ir", "Ir", "Ir", "Ir", "Ir"], "fractional_positions": [[0.000, 0.000, 0.000], [0.116, 0.384, 0.500], [0.174, 0.674, 0.500], [0.326, 0.174, 0.500], [0.384, 0.884, 0.500], [0.500, 0.500, 0.000], [0.616, 0.116, 0.500], [0.674, 0.826, 0.500], [0.826, 0.326, 0.500], [0.884, 0.616, 0.500], [0.003, 0.845, 0.500], [0.066, 0.566, 0.000], [0.155, 0.003, 0.500], [0.165, 0.201, 0.000], [0.201, 0.835, 0.000], [0.299, 0.335, 0.000], [0.335, 0.701, 0.000], [0.345, 0.503, 0.500], [0.434, 0.066, 0.000], [0.497, 0.345, 0.500], [0.503, 0.655, 0.500], [0.566, 0.934, 0.000], [0.655, 0.497, 0.500], [0.665, 0.299, 0.000], [0.701, 0.665, 0.000], [0.799, 0.165, 0.000], [0.835, 0.799, 0.000], [0.845, 0.997, 0.500], [0.934, 0.434, 0.000], [0.997, 0.155, 0.500], [0.019, 0.755, 0.000], [0.245, 0.019, 0.000], [0.255, 0.519, 0.000], [0.481, 0.255, 0.000], [0.519, 0.745, 0.000], [0.745, 0.481, 0.000], [0.755, 0.981, 0.000], [0.981, 0.245, 0.000]], "spacegroup": "No. 127", "e_tot_ev_per_cell": -257.8}


{"formula": "TcMoPt2", "functional": "PBE", "state": "optimized geometry", "cell": [[2.746, 0.000, 0.000], [0.000, 4.460, 0.000], [0.000, 0.000, 4.902]], "species": ["Tc", "Mo", "Pt", "Pt"], "fractional_positions": [[0.000, 0.000, 0.000], [0.000, 0.500, 0.683], [0.500, 0.000, 0.503], [0.500, 0.500, 0.177]], "ef_ev_per_atom": -0.2467, "polymorph_energy_mev_per_atom": 0, "spacegroup": "No. 25"}


{"formula": "GdHoCu2", "functional": "PBE", "state": "optimized geometry", "cell": [[4.488, 0.000, 0.000], [0.000, 3.701, 0.000], [0.000, 0.000, 10.318]], "species": ["Gd", "Gd", "Ho", "Ho", "Cu", "Cu", "Cu", "Cu"], "fractional_positions": [[0.000, 0.000, 0.000], [0.000, 0.500, 0.500], [0.500, 0.000, 0.280], [0.500, 0.500, 0.780], [0.000, 0.000, 0.713], [0.000, 0.500, 0.213], [0.500, 0.000, 0.570], [0.500, 0.500, 0.070]], "ef_ev_per_atom": -0.2463, "polymorph_energy_mev_per_atom": 10, "spacegroup": "No. 38"}


| no. | M_tot (μB/cell) |
| --- | --- |
| 1 | 0.02 |
| 2 | 0.00 |
| 3 | 0.00 |
| 4 | 0.00 |